Density functional theory data (GGA-PBE) for a relaxed structure of HgRh.

Cell: 10.1137 10.1137 2.8910 Å, 90.00 90.00 90.00°
Space group I4/mmm (No. 139)
Inequivalent atoms, fractional coordinates:
Hg1 0.1533 0.1533 0.0000
Rh1 0.0000 0.3406 0.5000

The energy of formation comes out at 15 kJ per mole of atoms.